# TiIn3S PBE relaxed
data_TiIn3S
_symmetry_space_group_name_H-M 'P m -3 m'
_symmetry_Int_Tables_number 221
_symmetry_space_group_name_Hall '-P 4 2 3'
_cell_length_a 5.155
_cell_length_b 5.155
_cell_length_c 5.155
_cell_angle_alpha 90.00
_cell_angle_beta 90.00
_cell_angle_gamma 90.00
loop_
_atom_site_label
_atom_site_fract_x
_atom_site_fract_y
_atom_site_fract_z
_atom_site_occupancy
Ti1 0.000 0.000 0.000 1
In1 0.000 0.500 0.500 1
S1 0.500 0.500 0.500 1
# E_tot = -3.38 eV per atom
# Raw formation energy = 0.667 eV/atom

# Pu4P3Cl PBE relaxed
data_Pu4P3Cl
_symmetry_space_group_name_H-M 'P 1 2/m 1'
_symmetry_Int_Tables_number 10
_symmetry_space_group_name_Hall '-P 2y'
_cell_length_a 6.910
_cell_length_b 4.007
_cell_length_c 6.938
_cell_angle_alpha 90.00
_cell_angle_beta 109.51
_cell_angle_gamma 90.00
loop_
_atom_site_label
_atom_site_fract_x
_atom_site_fract_y
_atom_site_fract_z
_atom_site_occupancy
Pu1 0.242 0.000 0.243 1
Pu2 0.247 0.500 0.753 1
P1 0.000 0.000 0.500 1
P2 0.000 0.500 0.000 1
P3 0.500 0.000 0.000 1
Cl1 0.500 0.500 0.500 1
# E_tot = -10.62 eV per atom
# Raw formation energy = -1.193 eV/atom

# Ce2ErH PBE relaxed
data_Ce2ErH
_symmetry_space_group_name_H-M 'P 4/m m m'
_symmetry_Int_Tables_number 123
_symmetry_space_group_name_Hall '-P 4 2'
_cell_length_a 3.225
_cell_length_b 3.225
_cell_length_c 8.429
_cell_angle_alpha 90.00
_cell_angle_beta 90.00
_cell_angle_gamma 90.00
loop_
_atom_site_label
_atom_site_fract_x
_atom_site_fract_y
_atom_site_fract_z
_atom_site_occupancy
Ce1 0.000 0.000 0.165 1
Er1 0.500 0.500 0.500 1
H1 0.500 0.500 0.000 1
# E_tot = -4.88 eV per atom

# Be2PAu PBE relaxed
data_Be2PAu
_symmetry_space_group_name_H-M 'P 4 m m'
_symmetry_Int_Tables_number 99
_symmetry_space_group_name_Hall 'P 4 -2'
_cell_length_a 3.258
_cell_length_b 3.258
_cell_length_c 4.874
_cell_angle_alpha 90.00
_cell_angle_beta 90.00
_cell_angle_gamma 90.00
loop_
_atom_site_label
_atom_site_fract_x
_atom_site_fract_y
_atom_site_fract_z
_atom_site_occupancy
Be1 0.000 0.000 0.000 1
Be2 0.500 0.500 0.281 1
P1 0.000 0.000 0.439 1
Au1 0.500 0.500 0.805 1
# Formation energy = 0.50 eV/f.u.
# E_tot = -3.91 eV per atom

The lowest E_tot belongs to which entry?
Pu4P3Cl